First-principles (PBE-GGA) data for a relaxed structure of CdNiP4, as listed in Alexandria.

a = 5.1287 Å, b = 5.1287 Å, c = 5.1287 Å
α = 60.00°, β = 60.00°, γ = 60.00°
Fractional coordinates of all 6 atoms:
Cd1 0.0000 0.0000 0.0000
Ni1 0.2500 0.2500 0.2500
P1 0.1442 0.6186 0.6186
P2 0.6186 0.1442 0.6186
P3 0.6186 0.6186 0.1442
P4 0.6186 0.6186 0.6186

Calculated values
Formation enthalpy at 0 K in eV/f.u.: 4.0
DFT total energy in eV per atom: -4.063
Space-group type: F-43m (216)


First-principles (PBE-GGA) data for a relaxed structure of NdHo3Ru2, as listed in Alexandria.

a = 3.4138 Å, b = 3.4138 Å, c = 12.4375 Å
α = 90.00°, β = 90.00°, γ = 90.00°
Fractional coordinates of all 6 atoms:
Nd1 0.0000 0.0000 0.0000
Ho1 0.5000 0.5000 0.2322
Ho2 0.5000 0.5000 0.5000
Ho3 0.5000 0.5000 0.7678
Ru1 0.0000 0.0000 0.3585
Ru2 0.0000 0.0000 0.6415

Calculated values
Formation enthalpy at 0 K in eV/f.u.: -1.8
DFT total energy in eV per atom: -6.477
Space-group type: P4/mmm (123)
Offset from the most stable computed form in eV per formula unit: 0.000


First-principles (PBE-GGA) data for a relaxed structure of NdUOs, as listed in Alexandria.

a = 4.8160 Å, b = 4.8160 Å, c = 3.4070 Å
α = 90.00°, β = 90.00°, γ = 120.00°
Fractional coordinates of all 3 atoms:
Nd1 0.0000 0.0000 0.0000
U1 0.3333 0.6667 0.5000
Os1 0.6667 0.3333 0.5000

Calculated values
Formation enthalpy at 0 K in eV/f.u.: 1.2
DFT total energy in eV per atom: -8.692
Space-group type: P-6m2 (187)
Offset from the most stable computed form in eV per formula unit: 1.055


First-principles (PBE-GGA) data for a relaxed structure of IrCl, as listed in Alexandria.

a = 5.1584 Å, b = 5.1584 Å, c = 5.1584 Å
α = 90.00°, β = 90.00°, γ = 90.00°
Fractional coordinates of all 8 atoms:
Ir1 0.0612 0.0612 0.0612
Ir2 0.4388 0.9388 0.5612
Ir3 0.5612 0.4388 0.9388
Ir4 0.9388 0.5612 0.4388
Cl1 0.1726 0.6726 0.8274
Cl2 0.3274 0.3274 0.3274
Cl3 0.6726 0.8274 0.1726
Cl4 0.8274 0.1726 0.6726

Calculated values
DFT total energy in eV per atom: -4.296
Energy relative to the elements, uncorrected in eV per atom: 1.058
Space-group type: P2_13 (198)
Offset from the most stable computed form in eV per formula unit: 1.847


First-principles (PBE-GGA) data for a relaxed structure of CsBi3B, as listed in Alexandria.

a = 5.3813 Å, b = 5.3813 Å, c = 5.3813 Å
α = 90.00°, β = 90.00°, γ = 90.00°
Fractional coordinates of all 5 atoms:
Cs1 0.0000 0.0000 0.0000
Bi1 0.0000 0.5000 0.5000
Bi2 0.5000 0.0000 0.5000
Bi3 0.5000 0.5000 0.0000
B1 0.5000 0.5000 0.5000

Calculated values
Formation enthalpy at 0 K in eV/f.u.: 2.9
DFT total energy in eV per atom: -3.262
Space-group type: Pm-3m (221)
Offset from the most stable computed form in eV per formula unit: 0.000


First-principles (PBE-GGA) data for a relaxed structure of ZnCr, as listed in Alexandria.

a = 4.4578 Å, b = 4.4578 Å, c = 4.8204 Å
α = 94.18°, β = 94.18°, γ = 32.34°
Fractional coordinates of all 4 atoms:
Zn1 0.1252 0.1252 0.3847
Zn2 0.8748 0.8748 0.6153
Cr1 0.3796 0.3796 0.1011
Cr2 0.6204 0.6204 0.8989

Calculated values
Formation enthalpy at 0 K in eV/f.u.: 0.4
DFT total energy in eV per atom: -5.226
Space-group type: C2/m (12)


First-principles (PBE-GGA) data for a relaxed structure of PuZn4Rh2, as listed in Alexandria.

a = 7.5969 Å, b = 7.5969 Å, c = 4.0871 Å
α = 90.00°, β = 90.00°, γ = 90.00°
Fractional coordinates of all 14 atoms:
Pu1 0.0000 0.0000 0.0000
Pu2 0.5000 0.5000 0.5000
Zn1 0.0965 0.3516 0.5000
Zn2 0.1484 0.5965 0.0000
Zn3 0.3516 0.0965 0.5000
Zn4 0.4035 0.8516 0.0000
Zn5 0.5965 0.1484 0.0000
Zn6 0.6484 0.9035 0.5000
Zn7 0.8516 0.4035 0.0000
Zn8 0.9035 0.6484 0.5000
Rh1 0.2081 0.7919 0.5000
Rh2 0.2919 0.2919 0.0000
Rh3 0.7081 0.7081 0.0000
Rh4 0.7919 0.2081 0.5000

Calculated values
Formation enthalpy at 0 K in eV/f.u.: -2.5
DFT total energy in eV per atom: -5.230
Space-group type: P4_2/mnm (136)


First-principles (PBE-GGA) data for a relaxed structure of CaMg14B, as listed in Alexandria.

a = 10.1472 Å, b = 6.6345 Å, c = 6.6345 Å
α = 54.76°, β = 90.00°, γ = 90.00°
Fractional coordinates of all 16 atoms:
Ca1 0.0000 0.0000 0.0000
Mg1 0.0000 0.0293 0.4945
Mg2 0.0000 0.4945 0.0293
Mg3 0.1631 0.5983 0.5983
Mg4 0.2525 0.1381 0.6337
Mg5 0.2525 0.6337 0.1381
Mg6 0.2592 0.1448 0.1448
Mg7 0.5000 0.4862 0.9773
Mg8 0.5000 0.4918 0.4918
Mg9 0.5000 0.9773 0.4862
Mg10 0.5000 0.9780 0.9780
Mg11 0.7408 0.1448 0.1448
Mg12 0.7475 0.1381 0.6337
Mg13 0.7475 0.6337 0.1381
Mg14 0.8369 0.5983 0.5983
B1 0.0000 0.4324 0.4324

Calculated values
Formation enthalpy at 0 K in eV/f.u.: 2.2
DFT total energy in eV per atom: -1.797
Space-group type: Amm2 (38)
Offset from the most stable computed form in eV per formula unit: 0.000


> Look up the DFT total energy of the eighth one.

-1.797 eV per atom


> Which of these has the highest DFT total energy?

CaMg14B


> DFT total energy of number 5 (CsBi3B)?

-3.262 eV per atom


> What is the DFT total energy in the fifth record?

-3.262 eV per atom